# 1
Material: MnCdGePb2
Method: DFT, GGA-PBE
State: relaxed

```
MnCdGePb2
1.0
5.1586 0.0000 0.0000
0.0000 5.1441 0.0000
0.0000 0.0000 5.1586
Mn Ge Pb Cd
1 1 2 1
Direct
0.0000 0.0000 0.0000 Mn
0.5000 0.5000 0.5000 Ge
0.5000 0.0000 0.0000 Pb
0.0000 0.0000 0.5000 Pb
0.0000 0.5000 0.0000 Cd
```

## Properties
Formation energy from the elements: 0.691 eV/atom
Total DFT energy (no corrections): -18.7 eV per cell
Fermi-level density of states: 8.7 states/eV/f.u.
SG: P4/mmm
Total magnetization: 0.00 μB/cell
Calculated density: 7.94 g/cm3


# 2
Material: RbMnCdGe2
Method: DFT, GGA-PBE
State: relaxed

```
RbMnCdGe2
1.0
-4.1181 2.1768 -0.1200
-0.9599 -1.5801 4.2771
2.2336 4.3417 2.1052
Cd Rb Ge Mn
1 1 2 1
Direct
0.0000 0.0000 0.5000 Cd
0.5000 0.5000 0.5000 Rb
0.5000 0.0000 0.0000 Ge
0.0000 0.5000 0.0000 Ge
0.0000 0.0000 0.0000 Mn
```

## Properties
Formation energy from the elements: 0.046 eV/atom
Total DFT energy (no corrections): -20.1 eV per cell
Fermi-level density of states: 0.5 states/eV/f.u.
SG: P4/mmm
Total magnetization: 0.00 μB/cell
Calculated density: 5.73 g/cm3


# 3
Material: MnCdGe2Rh
Method: DFT, GGA-PBE
State: relaxed

```
MnCdGe2Rh
1.0
4.8812 0.0000 0.0000
0.0000 4.8175 0.0000
0.0000 0.0000 4.8812
Rh Ge Mn Cd
1 2 1 1
Direct
0.5000 0.5000 0.5000 Rh
0.0000 0.0000 0.5000 Ge
0.5000 0.0000 0.0000 Ge
0.0000 0.5000 0.0000 Mn
0.0000 0.0000 0.0000 Cd
```

## Properties
Formation energy from the elements: 1.798 eV/atom
Total DFT energy (no corrections): -17.7 eV per cell
Fermi-level density of states: 7.5 states/eV/f.u.
SG: P4/mmm
Total magnetization: 0.24 μB/cell
Calculated density: 6.01 g/cm3


# 4
Material: MnCdSnGe2
Method: DFT, GGA-PBE
State: relaxed

```
MnCdSnGe2
1.0
4.6373 0.0000 0.0000
0.0000 5.2692 0.0000
0.0000 0.0000 4.6373
Mn Cd Sn Ge
1 1 1 2
Direct
0.0000 0.0000 0.0000 Mn
0.0000 0.5000 0.0000 Cd
0.5000 0.5000 0.5000 Sn
0.5000 0.0000 0.0000 Ge
0.0000 0.0000 0.5000 Ge
```

## Properties
Formation energy from the elements: 0.291 eV/atom
Total DFT energy (no corrections): -21.9 eV per cell
Fermi-level density of states: 2.8 states/eV/f.u.
SG: P4/mmm
Total magnetization: 1.67 μB/cell
Calculated density: 6.32 g/cm3